Record 1
LiFe2HPt | PBE | optimized geometry

## Properties
Uncorrected energy (eV for the cell shown): -29.0

Unit cell a=3.645 b=3.645 c=3.988 alpha=90.00 beta=90.00 gamma=90.00
Space group P4/mmm (No. 123)
One atom of each set of equivalent atoms:
Li1 0.000 0.000 0.000
Fe1 0.000 0.500 0.500
H1 0.000 0.000 0.500
Pt1 0.500 0.500 0.000

Record 2
LiFe2HRh | PBE | optimized geometry

## Properties
Uncorrected energy (eV for the cell shown): -29.5

Unit cell a=3.652 b=3.652 c=3.882 alpha=90.00 beta=90.00 gamma=90.00
Space group P4/mmm (No. 123)
One atom of each set of equivalent atoms:
Li1 0.000 0.000 0.000
Fe1 0.000 0.500 0.500
H1 0.000 0.000 0.500
Rh1 0.500 0.500 0.000

Record 3
LiFeHRu2 | PBE | optimized geometry

## Properties
Uncorrected energy (eV for the cell shown): -31.5

Unit cell a=3.974 b=3.974 c=3.338 alpha=90.00 beta=90.00 gamma=90.00
Space group P4/mmm (No. 123)
One atom of each set of equivalent atoms:
Li1 0.000 0.000 0.000
Fe1 0.500 0.500 0.000
H1 0.000 0.000 0.500
Ru1 0.000 0.500 0.500

Record 4
LiFe2SnH | PBE | optimized geometry

## Properties
Uncorrected energy (eV for the cell shown): -26.3

Unit cell a=3.723 b=3.723 c=4.114 alpha=90.00 beta=90.00 gamma=90.00
Space group P4/mmm (No. 123)
One atom of each set of equivalent atoms:
Li1 0.000 0.000 0.000
Fe1 0.000 0.500 0.500
Sn1 0.500 0.500 0.000
H1 0.000 0.000 0.500

Record 5
Sr2LiFeH6 | PBE | optimized geometry

## Properties
Uncorrected energy (eV for the cell shown): -38.1

Unit cell a=5.2465 b=5.2465 c=4.7079 alpha=90.00 beta=90.00 gamma=120.00
Space group P-3m1 (No. 164)
One atom of each set of equivalent atoms:
Sr1 0.3333 0.6667 0.2216
Li1 0.0000 0.0000 0.5000
Fe1 0.0000 0.0000 0.0000
H1 0.1507 0.3014 0.7912

Record 6
LiZnFe2H | PBE | optimized geometry

## Properties
Uncorrected energy (eV for the cell shown): -23.6

Unit cell a=3.576 b=3.576 c=3.996 alpha=90.00 beta=90.00 gamma=90.00
Space group P4/mmm (No. 123)
One atom of each set of equivalent atoms:
Li1 0.000 0.000 0.000
Zn1 0.500 0.500 0.000
Fe1 0.000 0.500 0.500
H1 0.000 0.000 0.500

Record 7
LiZnFeH6 | PBE | optimized geometry

## Properties
Uncorrected energy (eV for the cell shown): -63.7

Unit cell a=4.3951 b=4.3951 c=8.4585 alpha=90.00 beta=90.00 gamma=120.00
Space group P-31c (No. 163)
One atom of each set of equivalent atoms:
Li1 0.0000 0.0000 0.0000
Zn1 0.3333 0.6667 0.2500
Fe1 0.3333 0.6667 0.7500
H1 0.0448 0.4549 0.6212

Record 8
LiZrFeH2 | PBE | optimized geometry

## Properties
Uncorrected energy (eV for the cell shown): -22.3

Unit cell a=3.680 b=3.680 c=5.250 alpha=90.00 beta=90.00 gamma=90.00
Space group P4/mmm (No. 123)
One atom of each set of equivalent atoms:
Li1 0.000 0.000 0.000
Zr1 0.000 0.000 0.500
Fe1 0.500 0.500 0.000
H1 0.000 0.500 0.500